(1)
A plane-wave DFT calculation with PBE was carried out for LiAlAg2 after structural relaxation.

Values from the calculation:
total DFT energy (no corrections): -2.91 eV per atom

Unit cell a=4.5080 b=4.5080 c=7.9375 alpha=90.00 beta=90.00 gamma=120.00
Space group P6_3/mmc (No. 194)
Inequivalent atoms, fractional coordinates:
Li  0.0000  0.0000  0.2500 x2
Al  0.3333  0.6667  0.2500 x2
Ag  0.3333  0.6667  0.5797 x4

(2)
A plane-wave DFT calculation with PBE was carried out for Hf3Ni3As4Pd after structural relaxation.

Values from the calculation:
total DFT energy (no corrections): -7.14 eV per atom
energy relative to the lowest polymorph listed for this composition: 8 kJ/mol of formula units

Unit cell a=6.421 b=3.828 c=7.455 alpha=90.00 beta=91.07 gamma=90.00
Space group Pm (No. 6)
Inequivalent atoms, fractional coordinates:
Hf  0.000  0.000  0.000 x1
Hf  0.065  0.500  0.371 x1
Hf  0.501  0.000  0.868 x1
Ni  0.176  0.500  0.747 x1
Ni  0.384  0.000  0.242 x1
Ni  0.678  0.500  0.126 x1
As  0.296  0.500  0.063 x1
As  0.312  0.000  0.556 x1
As  0.760  0.000  0.302 x1
As  0.780  0.500  0.811 x1
Pd  0.909  0.000  0.618 x1

(3)
A plane-wave DFT calculation with PBE was carried out for AcPaAsO after structural relaxation.

Values from the calculation:
total DFT energy (no corrections): -6.88 eV per atom
energy relative to the lowest polymorph listed for this composition: 308 kJ/mol of formula units

Unit cell a=4.464 b=4.464 c=9.348 alpha=90.00 beta=90.00 gamma=90.00
Space group P4/nmm (No. 129, origin choice 2)
Inequivalent atoms, fractional coordinates:
Ac  0.250  0.750  0.000 x2
Pa  0.250  0.250  0.392 x2
As  0.250  0.250  0.754 x2
O  0.250  0.750  0.500 x2

(4)
A plane-wave DFT calculation with PBE was carried out for Sr2MgOsN6 after structural relaxation.

Values from the calculation:
total DFT energy (no corrections): -6.37 eV per atom
energy relative to the lowest polymorph listed for this composition: 8 kJ/mol of formula units

Unit cell a=8.005 b=8.005 c=8.005 alpha=90.00 beta=90.00 gamma=90.00
Space group Fm-3m (No. 225)
Inequivalent atoms, fractional coordinates:
Sr  0.250  0.250  0.250 x8
Mg  0.000  0.000  0.000 x4
Os  0.000  0.000  0.500 x4
N  0.000  0.000  0.258 x24

(5)
A plane-wave DFT calculation with PBE was carried out for Nd2Se3 after structural relaxation.

Values from the calculation:
total DFT energy (no corrections): -5.86 eV per atom

Unit cell a=8.558 b=11.947 c=25.440 alpha=90.00 beta=90.00 gamma=90.00
Space group Fddd (No. 70, origin choice 2)
Inequivalent atoms, fractional coordinates:
Nd  0.125  0.125  0.040 x16
Nd  0.125  0.125  0.379 x16
Se  0.114  0.375  0.375 x16
Se  0.115  0.372  0.205 x32

(6)
A plane-wave DFT calculation with PBE was carried out for LuGeTe2AuS after structural relaxation.

Values from the calculation:
total DFT energy (no corrections): -4.35 eV per atom

Unit cell a=4.150 b=14.864 c=9.805 alpha=90.00 beta=90.00 gamma=90.00
Space group Cmcm (No. 63)
Inequivalent atoms, fractional coordinates:
Lu  0.000  0.000  0.000 x4
Ge  0.000  0.233  0.250 x4
Te  0.000  0.345  0.552 x8
Au  0.000  0.482  0.750 x4
S  0.000  0.077  0.750 x4

(7)
A plane-wave DFT calculation with PBE was carried out for HfFeSiAg after structural relaxation.

Values from the calculation:
total DFT energy (no corrections): -6.60 eV per atom
energy relative to the lowest polymorph listed for this composition: 0 kJ/mol of formula units

Unit cell a=6.274 b=6.274 c=6.274 alpha=90.00 beta=90.00 gamma=90.00
Space group F-43m (No. 216)
Inequivalent atoms, fractional coordinates:
Hf  0.000  0.000  0.000 x4
Fe  0.250  0.250  0.750 x4
Si  0.000  0.000  0.500 x4
Ag  0.250  0.250  0.250 x4

(8)
A plane-wave DFT calculation with PBE was carried out for CsSmGeS3 after structural relaxation.

Values from the calculation:
total DFT energy (no corrections): -4.96 eV per atom

Unit cell a=4.281 b=15.392 c=11.348 alpha=90.00 beta=90.00 gamma=90.00
Space group Cmcm (No. 63)
Inequivalent atoms, fractional coordinates:
Cs  0.000  0.232  0.250 x4
Sm  0.000  0.500  0.000 x4
Ge  0.000  0.052  0.750 x4
S  0.000  0.117  0.541 x8
S  0.000  0.462  0.750 x4

(9)
A plane-wave DFT calculation with PBE was carried out for Pm3Fe after structural relaxation.

Values from the calculation:
formation energy: 0.3663 eV per atom
total DFT energy (no corrections): -5.27 eV per atom
energy relative to the lowest polymorph listed for this composition: 19 kJ/mol of formula units

Unit cell a=4.692 b=4.692 c=9.956 alpha=90.00 beta=90.00 gamma=90.00
Space group I4/mmm (No. 139)
Inequivalent atoms, fractional coordinates:
Pm  0.000  0.000  0.000 x2
Pm  0.000  0.500  0.250 x4
Fe  0.000  0.000  0.500 x2

(10)
A plane-wave DFT calculation with PBE was carried out for Pr5Si2Se3O17F after structural relaxation.

Values from the calculation:
total DFT energy (no corrections): -7.26 eV per atom

Unit cell a=7.000 b=9.787 c=12.813 alpha=70.38 beta=77.07 gamma=69.62
Space group P-1 (No. 2)
Inequivalent atoms, fractional coordinates:
Pr  0.094  0.138  0.394 x2
Pr  0.299  0.972  0.741 x2
Pr  0.300  0.418  0.623 x2
Pr  0.308  0.921  0.144 x2
Pr  0.352  0.470  0.260 x2
Si  0.115  0.724  0.383 x2
Si  0.477  0.795  0.528 x2
Se  0.084  0.230  0.892 x2
Se  0.087  0.624  0.846 x2
Se  0.463  0.297  0.024 x2
O  0.019  0.909  0.342 x2
O  0.025  0.080  0.878 x2
O  0.028  0.628  0.329 x2
O  0.084  0.660  0.519 x2
O  0.099  0.801  0.762 x2
O  0.105  0.379  0.217 x2
O  0.138  0.172  0.026 x2
O  0.242  0.906  0.523 x2
O  0.294  0.507  0.785 x2
O  0.326  0.195  0.812 x2
O  0.352  0.674  0.090 x2
O  0.355  0.692  0.318 x2
O  0.374  0.170  0.588 x2
O  0.429  0.196  0.368 x2
O  0.437  0.687  0.872 x2
O  0.454  0.900  0.949 x2
O  0.493  0.389  0.441 x2
F  0.345  0.048  0.256 x2

(11)
A plane-wave DFT calculation with PBE was carried out for NdIn2Ag2 after structural relaxation.

Values from the calculation:
total DFT energy (no corrections): -3.44 eV per atom

Unit cell a=4.537 b=4.537 c=11.623 alpha=90.00 beta=90.00 gamma=90.00
Space group P4/nmm (No. 129, origin choice 2)
Inequivalent atoms, fractional coordinates:
Nd  0.250  0.250  0.247 x2
In  0.250  0.250  0.865 x2
In  0.250  0.750  0.500 x2
Ag  0.250  0.250  0.639 x2
Ag  0.250  0.750  0.000 x2

(12)
A plane-wave DFT calculation with PBE was carried out for RbTlCu after structural relaxation.

Values from the calculation:
total DFT energy (no corrections): -1.96 eV per atom
energy relative to the lowest polymorph listed for this composition: 0 kJ/mol of formula units

Unit cell a=7.483 b=7.483 c=7.483 alpha=90.00 beta=90.00 gamma=90.00
Space group F-43m (No. 216)
Inequivalent atoms, fractional coordinates:
Rb  0.000  0.000  0.000 x4
Tl  0.000  0.000  0.500 x4
Cu  0.250  0.250  0.250 x4

(13)
A plane-wave DFT calculation with PBE was carried out for YTmZr after structural relaxation.

Values from the calculation:
formation energy: 0.9380 eV per atom
total DFT energy (no corrections): -5.56 eV per atom
energy relative to the lowest polymorph listed for this composition: 0 kJ/mol of formula units

Unit cell a=7.308 b=7.308 c=7.308 alpha=90.00 beta=90.00 gamma=90.00
Space group F-43m (No. 216)
Inequivalent atoms, fractional coordinates:
Y  0.000  0.000  0.000 x4
Tm  0.250  0.250  0.250 x4
Zr  0.000  0.000  0.500 x4

(14)
A plane-wave DFT calculation with PBE was carried out for NaInPdPb after structural relaxation.

Values from the calculation:
total DFT energy (no corrections): -3.43 eV per atom
energy relative to the lowest polymorph listed for this composition: 0 kJ/mol of formula units

Unit cell a=7.031 b=7.031 c=7.031 alpha=90.00 beta=90.00 gamma=90.00
Space group F-43m (No. 216)
Inequivalent atoms, fractional coordinates:
Na  0.000  0.000  0.000 x4
In  0.250  0.250  0.750 x4
Pd  0.000  0.000  0.500 x4
Pb  0.250  0.250  0.250 x4

(15)
A plane-wave DFT calculation with PBE was carried out for AcDyY after structural relaxation.

Values from the calculation:
formation energy: 0.6834 eV per atom
total DFT energy (no corrections): -4.37 eV per atom
energy relative to the lowest polymorph listed for this composition: 0 kJ/mol of formula units

Unit cell a=8.001 b=8.001 c=8.001 alpha=90.00 beta=90.00 gamma=90.00
Space group F-43m (No. 216)
Inequivalent atoms, fractional coordinates:
Ac  0.000  0.000  0.000 x4
Dy  0.250  0.250  0.250 x4
Y  0.000  0.000  0.500 x4

(16)
A plane-wave DFT calculation with PBE was carried out for Tl2NiSnBr6 after structural relaxation.

Values from the calculation:
total DFT energy (no corrections): -3.05 eV per atom

Unit cell a=10.797 b=10.797 c=10.797 alpha=90.00 beta=90.00 gamma=90.00
Space group Fm-3m (No. 225)
Inequivalent atoms, fractional coordinates:
Tl  0.250  0.250  0.250 x8
Ni  0.000  0.000  0.000 x4
Sn  0.000  0.000  0.500 x4
Br  0.000  0.000  0.236 x24

(17)
A plane-wave DFT calculation with PBE was carried out for CsTe3PtAu after structural relaxation.

Values from the calculation:
total DFT energy (no corrections): -3.64 eV per atom

Unit cell a=4.076 b=17.051 c=11.467 alpha=90.00 beta=90.00 gamma=90.00
Space group Cmcm (No. 63)
Inequivalent atoms, fractional coordinates:
Cs  0.000  0.241  0.250 x4
Te  0.000  0.103  0.519 x8
Te  0.000  0.462  0.750 x4
Pt  0.000  0.500  0.000 x4
Au  0.000  0.085  0.750 x4

(18)
A plane-wave DFT calculation with PBE was carried out for GdAgTe3Pb after structural relaxation.

Values from the calculation:
total DFT energy (no corrections): -4.17 eV per atom
energy relative to the lowest polymorph listed for this composition: 4 kJ/mol of formula units

Unit cell a=4.347 b=14.887 c=11.314 alpha=90.00 beta=90.00 gamma=90.00
Space group Cmcm (No. 63)
Inequivalent atoms, fractional coordinates:
Gd  0.000  0.000  0.000 x4
Ag  0.000  0.470  0.250 x4
Te  0.000  0.094  0.250 x4
Te  0.000  0.354  0.055 x8
Pb  0.000  0.231  0.750 x4

(19)
A plane-wave DFT calculation with PBE was carried out for TbY2Sn7 after structural relaxation.

Values from the calculation:
total DFT energy (no corrections): -5.11 eV per atom

Unit cell a=4.406 b=26.522 c=4.465 alpha=90.00 beta=90.00 gamma=90.00
Space group Cmmm (No. 65)
Inequivalent atoms, fractional coordinates:
Tb  0.000  0.000  0.000 x2
Y  0.000  0.311  0.500 x4
Sn  0.000  0.096  0.500 x4
Sn  0.000  0.211  0.000 x4
Sn  0.000  0.403  0.000 x4
Sn  0.000  0.500  0.500 x2

(20)
A plane-wave DFT calculation with PBE was carried out for K2Rb2HgP2 after structural relaxation.

Values from the calculation:
total DFT energy (no corrections): -2.53 eV per atom
energy relative to the lowest polymorph listed for this composition: 0 kJ/mol of formula units

Unit cell a=5.7746 b=5.7746 c=28.0797 alpha=90.00 beta=90.00 gamma=120.00
Space group R-3m (No. 166, hexagonal axes)
Inequivalent atoms, fractional coordinates:
K  0.0000  0.0000  0.1108 x6
Rb  0.0000  0.0000  0.2922 x6
Hg  0.0000  0.0000  0.5000 x3
P  0.0000  0.0000  0.4139 x6

(21)
A plane-wave DFT calculation with PBE was carried out for Pr2H2BrCl3 after structural relaxation.

Values from the calculation:
total DFT energy (no corrections): -4.64 eV per atom

Unit cell a=3.9818 b=3.9818 c=13.7135 alpha=90.00 beta=90.00 gamma=120.00
Space group P3m1 (No. 156)
Inequivalent atoms, fractional coordinates:
Pr  0.0000  0.0000  0.0000 x1
Pr  0.0000  0.0000  0.4947 x1
H  0.3333  0.6667  0.9969 x1
H  0.6667  0.3333  0.4952 x1
Br  0.6667  0.3333  0.8555 x1
Cl  0.3333  0.6667  0.3654 x1
Cl  0.3333  0.6667  0.6244 x1
Cl  0.6667  0.3333  0.1293 x1

(22)
A plane-wave DFT calculation with PBE was carried out for BaIrOs2 after structural relaxation.

Values from the calculation:
total DFT energy (no corrections): -6.83 eV per atom

Unit cell a=6.701 b=6.701 c=6.701 alpha=90.00 beta=90.00 gamma=90.00
Space group F-43m (No. 216)
Inequivalent atoms, fractional coordinates:
Ba  0.000  0.000  0.000 x4
Ir  0.250  0.250  0.250 x4
Os  0.000  0.000  0.500 x4
Os  0.250  0.250  0.750 x4